[1]
{
  "formula": "ZrTe2HN",
  "functional": "PBE",
  "state": "relaxed",
  "lattice": [[5.3612, 0.0000, 0.0000], [0.0000, 5.3612, 0.0000], [0.0000, 0.0000, 2.9555]],
  "species": ["H", "Te", "Te", "Zr", "N"],
  "frac_coords": [[0.0000, 0.0000, 0.0000], [0.0000, 0.5000, 0.0000], [0.5000, 0.0000, 0.0000], [0.5000, 0.5000, 0.5000], [0.0000, 0.0000, 0.5000]],
  "dos_at_fermi_per_ev_atom": 0.654,
  "de_polymorph_ev_per_atom": 0.120,
  "energy_ev_per_atom": -4.603
}

***

[2]
{
  "formula": "Th2HN3",
  "functional": "PBE",
  "state": "relaxed",
  "lattice": [[4.0218, 0.0000, 0.0000], [-2.0109, 3.4830, 0.0000], [0.0000, 0.0000, 6.1650]],
  "species": ["Th", "Th", "H", "N", "N", "N"],
  "frac_coords": [[0.6667, 0.3333, 0.2503], [0.3333, 0.6667, 0.7291], [0.0000, 0.0000, 0.8493], [0.6667, 0.3333, 0.6493], [0.3333, 0.6667, 0.3547], [0.0000, 0.0000, 0.0172]],
  "dos_at_fermi_per_ev_atom": 0.000,
  "energy_ev_per_atom": -8.504
}